# CaTmWO6 (PBE+U, optimized geometry)
# - magnetic moment (μB/f.u.) = 1.0
# - total energy (eV per atom) = -7.358
data_CaTmWO6
_symmetry_space_group_name_H-M 'P 3 1 2'
_symmetry_Int_Tables_number 149
_cell_length_a 5.5611
_cell_length_b 5.5611
_cell_length_c 4.8592
_cell_angle_alpha 90.00
_cell_angle_beta 90.00
_cell_angle_gamma 120.00
loop_
_symmetry_equiv_pos_as_xyz
'x,y,z'
'-y,x-y,z'
'-x+y,-x,z'
'-y,-x,-z'
'-x+y,y,-z'
'x,x-y,-z'
loop_
_atom_site_label
_atom_site_fract_x
_atom_site_fract_y
_atom_site_fract_z
Ca1 0.0000 0.0000 0.0000
Tm1 0.3333 0.6667 0.5000
W1 0.6667 0.3333 0.5000
O1 0.3757 0.0365 0.7208